[1]
Compound: Ce15PuGa4
Source: Alexandria
Functional: GGA-PBE
Structure: relaxed

Properties
As for the symmetry: No. 123. As for the volume: 501.4 Å³/f.u. The value obtained for the formation energy is -185 meV/atom.

a b c (Å): 4.633 4.633 23.363
angles (deg): 90.00 90.00 90.00
Each line ends with the local moment (μB).
Positions (direct):
Ce: 0.000 0.500 0.698  -0.64
Ga: 0.000 0.000 0.401  0.01
Ce: 0.500 0.000 0.102  -0.41
Ce: 0.000 0.500 0.102  -0.41
Ce: 0.500 0.500 0.199  -0.67
Ce: 0.500 0.000 0.898  -0.41
Ce: 0.500 0.500 0.801  -0.67
Ce: 0.500 0.000 0.500  -0.62
Ce: 0.500 0.000 0.302  -0.64
Ce: 0.500 0.500 0.402  -0.62
Ce: 0.500 0.000 0.698  -0.64
Ce: 0.000 0.500 0.302  -0.64
Ce: 0.500 0.500 0.000  -0.14
Pu: 0.000 0.000 0.000  5.17
Ce: 0.500 0.500 0.598  -0.62
Ga: 0.000 0.000 0.599  0.01
Ce: 0.000 0.500 0.898  -0.41
Ga: 0.000 0.000 0.797  0.01
Ga: 0.000 0.000 0.203  0.01
Ce: 0.000 0.500 0.500  -0.62

***

[2]
Compound: CePu3Ga
Source: Alexandria
Functional: GGA-PBE
Structure: relaxed

Properties
As for the symmetry: No. 38. As for the volume: 112.3 Å³/f.u. The value obtained for the formation energy is -27 meV/atom.

a b c (Å): 3.707 5.758 5.998
angles (deg): 118.68 90.00 90.00
Each line ends with the local moment (μB).
Positions (direct):
Pu: 0.500 0.404 0.354  3.19
Ce: 0.000 0.431 0.861  -0.47
Pu: 0.000 0.671 0.343  -1.86
Ga: 0.500 0.916 0.833  -0.05
Pu: 0.500 0.949 0.354  3.19

***

[3]
Compound: Ce8PuGa2
Source: Alexandria
Functional: GGA-PBE
Structure: relaxed

Properties
As for the symmetry: No. 8. As for the volume: 273.0 Å³/f.u. The value obtained for the formation energy is -151 meV/atom.

a b c (Å): 5.281 8.830 8.830
angles (deg): 120.93 108.22 108.22
Each line ends with the local moment (μB).
Positions (direct):
Ce: 0.238 0.585 0.829  -0.15
Ce: 0.031 0.207 0.816  -0.45
Ce: 0.365 0.325 0.325  -0.03
Ce: 0.905 0.784 0.784  0.04
Ce: 0.713 0.355 0.102  -0.06
Ga: 0.514 0.690 0.306  0.01
Ce: 0.713 0.102 0.355  -0.06
Ce: 0.238 0.829 0.585  -0.15
Pu: 0.737 0.037 0.037  4.33
Ga: 0.514 0.306 0.690  0.01
Ce: 0.031 0.816 0.207  -0.45

***

[4]
Compound: CePu2Ga6
Source: Alexandria
Functional: GGA-PBE
Structure: relaxed

Properties
As for the symmetry: No. 191. As for the volume: 186.5 Å³/f.u. The value obtained for the formation energy is -430 meV/atom.

a b c (Å): 3.435 7.917 7.918
angles (deg): 120.00 90.01 90.00
Each line ends with the local moment (μB).
Positions (direct):
Ga: 0.500 0.666 0.666  0.00
Ce: 0.000 0.000 0.000  0.46
Ga: 0.500 0.666 0.000  0.00
Ga: 0.500 0.334 0.334  0.00
Pu: 0.000 0.333 0.667  -5.34
Ga: 0.500 0.334 0.000  0.00
Ga: 0.500 0.000 0.666  0.00
Pu: 0.000 0.667 0.333  -5.34
Ga: 0.500 0.000 0.334  0.00

***

| no. | spin magnetization (μB/cell) |
| --- | --- |
| 1 | 4.8 |
| 2 | 3.7 |
| 3 | 2.5 |
| 4 | 10.8 |